The following is a PBE with a Hubbard U calculation of a geometry-optimized SrCrF4 structure, from the Alexandria database.

CIF file:
```
data_SrCrF4
_chemical_formula_sum 'Sr4 Cr4 F16'
_symmetry_space_group_name_H-M 'I b a m'
_symmetry_Int_Tables_number 72
_symmetry_space_group_name_Hall '-I 2 2c'
_cell_length_a 5.540
_cell_length_b 5.878
_cell_length_c 11.349
_cell_angle_alpha 90.00
_cell_angle_beta 90.00
_cell_angle_gamma 90.00
loop_
_atom_site_label
_atom_site_fract_x
_atom_site_fract_y
_atom_site_fract_z
Sr1 0.000 0.000 0.000
Cr1 0.000 0.500 0.250
F1 0.173 0.299 0.127
```

- ΔE to the lowest computed polymorph: 0.126 eV per atom
- Final energy: -142.4 eV per cell
- DOS at the Fermi energy: 0.00 states/eV per cell